VASP calculation (PBE) on an optimized crystal structure of TbCe2Pb.

Output
size of the total moment: 0.0 μB/cell
energy relative to the elements: -1.2 eV/f.u.
total energy: -42.735 eV per cell
space-group type: P2_1/m, No. 11
DOS at the Fermi energy: 15.24 states/eV per cell
calculated density: 9450 kg/m3

Lattice parameters (Å, degrees): 4.514 4.397 11.613 90.00 99.75 90.00
Fractional positions:
1 Tb 0.196 0.250 0.388
2 Tb 0.804 0.750 0.612
3 Ce 0.105 0.750 0.113
4 Ce 0.498 0.250 0.115
5 Ce 0.502 0.750 0.885
6 Ce 0.895 0.250 0.887
7 Pb 0.321 0.250 0.667
8 Pb 0.679 0.750 0.333